Density functional theory data (GGA-PBE) for a relaxed Tb3DyY2S6 crystal.

Cell: 6.7949 6.7949 6.7897 Å, 99.56 99.56 120.21°
Element x y z (fractional)
Tb (0.0000, 0.0000, 0.0000)
Tb (0.3328, 0.6672, 0.0000)
Tb (0.6672, 0.3328, 0.0000)
Dy (0.5000, 0.5000, 0.5000)
Y (0.1668, 0.8332, 0.5000)
Y (0.8332, 0.1668, 0.5000)
S (0.0846, 0.4171, 0.2515)
S (0.2504, 0.2504, 0.7490)
S (0.4171, 0.0846, 0.2515)
S (0.5829, 0.9154, 0.7485)
S (0.7496, 0.7496, 0.2510)
S (0.9154, 0.5829, 0.7485)

Computed properties:
DOS at the Fermi energy   0.408 states/eV/atom
Uncorrected energy   -80.3 eV per cell
Total magnetic moment   0.0 μB per cell

***

Density functional theory data (GGA-PBE) for a relaxed Mg4MoP crystal.

Cell: 5.4789 5.4789 5.4789 Å, 60.00 60.00 60.00°
Element x y z (fractional)
Mg (0.1246, 0.1246, 0.1246)
Mg (0.1246, 0.1246, 0.6262)
Mg (0.1246, 0.6262, 0.1246)
Mg (0.6262, 0.1246, 0.1246)
Mo (0.7500, 0.7500, 0.7500)
P (0.5000, 0.5000, 0.5000)

Computed properties:
DOS at the Fermi energy   0.881 states/eV/atom
Uncorrected energy   -18.9 eV per cell
Formation enthalpy at 0 K   0.63 eV/atom
Total magnetic moment   2.3 μB per cell